# 1
# Rb2CuO2F4

An optimized crystal structure of Rb2CuO2F4 (PBE, the Alexandria database).

Geometry as CIF:
```
data_Rb2CuO2F4
_chemical_formula_sum 'Rb4 Cu2 O4 F8'
_symmetry_space_group_name_H-M 'I 4/m m m'
_symmetry_Int_Tables_number 139
_symmetry_space_group_name_Hall '-I 4 2'
_cell_length_a 6.6210
_cell_length_b 6.6210
_cell_length_c 7.4293
_cell_angle_alpha 90.00
_cell_angle_beta 90.00
_cell_angle_gamma 90.00
loop_
_atom_site_label
_atom_site_type_symbol
_atom_site_fract_x
_atom_site_fract_y
_atom_site_fract_z
_atom_site_occupancy
Rb1 Rb 0.0000 0.5000 0.2500 1
Cu1 Cu 0.0000 0.0000 0.0000 1
O1 O 0.0000 0.0000 0.4173 1
F1 F 0.2028 0.2028 0.0000 1
```



# 2
# Sr4Sb2O

An optimized crystal structure of Sr4Sb2O (PBE, the Alexandria database).

Geometry as CIF:
```
data_Sr4Sb2O
_chemical_formula_sum 'Sr8 Sb4 O2'
_symmetry_space_group_name_H-M 'P 1 21/m 1'
_symmetry_Int_Tables_number 11
_symmetry_space_group_name_Hall '-P 2yb'
_cell_length_a 7.0800
_cell_length_b 7.3438
_cell_length_c 9.7332
_cell_angle_alpha 90.00
_cell_angle_beta 110.24
_cell_angle_gamma 90.00
loop_
_atom_site_label
_atom_site_type_symbol
_atom_site_fract_x
_atom_site_fract_y
_atom_site_fract_z
_atom_site_occupancy
Sr1 Sr 0.0001 0.0091 0.2348 1
Sr2 Sr 0.3806 0.2500 0.5530 1
Sr3 Sr 0.4349 0.2500 0.1528 1
Sb1 Sb 0.1933 0.7500 0.5358 1
Sb2 Sb 0.2947 0.7500 0.0792 1
O1 O 0.2241 0.2500 0.2932 1
```



# 3
# Cs3Pm3VSe8

An optimized crystal structure of Cs3Pm3VSe8 (PBE, the Alexandria database).

Geometry as CIF:
```
data_Cs3Pm3VSe8
_chemical_formula_sum 'Cs9 Pm9 V3 Se24'
_symmetry_space_group_name_H-M 'R -3 m'
_symmetry_Int_Tables_number 166
_symmetry_space_group_name_Hall '-R 3 2"'
_cell_length_a 8.3869
_cell_length_b 8.3869
_cell_length_c 25.7276
_cell_angle_alpha 90.00
_cell_angle_beta 90.00
_cell_angle_gamma 120.00
loop_
_atom_site_label
_atom_site_type_symbol
_atom_site_fract_x
_atom_site_fract_y
_atom_site_fract_z
_atom_site_occupancy
Cs1 Cs 0.0000 0.5000 0.0000 1
Pm1 Pm 0.0000 0.5000 0.5000 1
V1 V 0.0000 0.0000 0.5000 1
Se1 Se 0.0000 0.0000 0.2307 1
Se2 Se 0.0356 0.5178 0.2247 1
```



| no. | E_form (uncorrected) (eV/atom) |
| --- | --- |
| 1 | -1.74 |
| 2 | -1.51 |
| 3 | -1.44 |